VASP calculation (PBE with a Hubbard U) on Li3WCl2F6 after structural relaxation.

The value obtained for the total energy is -0.1738 Ha/atom. The value obtained for the density of states at the Fermi level is 0.00 states/eV per atom. The calculation puts the total magnetic moment at 0.09 μB per atom.

The space group is C2/m (No. 12) and the conventional cell measures 13.100, 6.218 and 4.954 Å, with angles of 90.00, 93.14 and 90.00 degrees. The asymmetric unit holds Li at (0.000, 0.000, 0.000), Li at (0.250, 0.250, 0.500), W at (0.000, 0.500, 0.500), Cl at (0.173, 0.000, 0.209), F at (0.042, 0.273, 0.748) and F at (0.142, 0.500, 0.384).